# 1
This record from Alexandria via LeMat-Bulk describes a geometry-optimized BeCoRu2 structure. The functional is GGA-PBEsol.

Properties
The value obtained for the formation energy is -0.0726 eV/atom. The space-group type is P4mm.

```
BeCoRu2
1.0
-0.192 2.576 -0.610
-2.641 -0.144 0.225
0.437 1.464 6.049
Ru Co Be
2 1 1
direct
0.000 0.000 0.988
0.500 0.500 0.279
0.500 0.500 0.713
0.000 0.000 0.520
```



# 2
This record from Alexandria via LeMat-Bulk describes a geometry-optimized DyTeAs structure. The functional is GGA-PBEsol.

Properties
The value obtained for the energy relative to the elements, uncorrected is -1.23 eV per atom. The space-group type is Pnma.

```
DyTeAs
1.0
-2.350 -2.532 -2.031
6.000 -3.238 -2.905
0.256 -6.253 7.499
As Te Dy
4 4 4
direct
0.250 0.100 0.960
0.750 0.400 0.460
0.250 0.600 0.540
0.750 0.900 0.040
0.750 0.414 0.853
0.250 0.086 0.353
0.750 0.914 0.647
0.250 0.586 0.147
0.750 0.768 0.341
0.250 0.232 0.659
0.750 0.268 0.159
0.250 0.732 0.841
```



# 3
This record from Alexandria via LeMat-Bulk describes a geometry-optimized Zr2HgCl structure. The functional is GGA-PBEsol.

Properties
The value obtained for the energy relative to the elements, uncorrected is -0.52 eV per atom. The energy above the most stable polymorph in this dataset is 50 meV/atom. The space-group type is P4mm.

```
Zr2HgCl
1.0
3.128 0.000 0.000
0.000 3.128 0.000
0.000 0.000 8.974
Hg Zr Cl
1 2 1
direct
0.500 0.500 0.779
0.000 0.000 0.010
0.500 0.500 0.268
0.000 0.000 0.443
```



# 4
This record from Alexandria via LeMat-Bulk describes a geometry-optimized ZrPtAu2 structure. The functional is GGA-PBEsol.

Properties
The value obtained for the formation energy is -0.6363 eV/atom. The space-group type is I4/mmm.

```
ZrPtAu2
1.0
4.061 0.000 0.000
0.000 4.061 0.000
-2.030 -2.030 4.157
Au Zr Pt
2 1 1
direct
0.750 0.250 0.500
0.250 0.750 0.500
0.500 0.500 0.000
0.000 0.000 0.000
```



# 5
This record from Alexandria via LeMat-Bulk describes a geometry-optimized TaTl2W structure. The functional is GGA-PBEsol.

Properties
The value obtained for the formation energy is 1.0188 eV/atom. The energy above the most stable polymorph in this dataset is 520 meV/atom. The space-group type is Fm-3m.

```
TaTl2W
1.0
-3.009 -2.813 -2.327
-1.075 -4.266 1.738
-4.314 -0.819 1.760
Ta Tl W
1 2 1
direct
0.000 0.000 0.000
0.250 0.250 0.250
0.750 0.750 0.750
0.500 0.500 0.500
```



# 6
This record from Alexandria via LeMat-Bulk describes a geometry-optimized TaRhSe2 structure. The functional is GGA-PBEsol.

Properties
The value obtained for the energy relative to the elements, uncorrected is -0.20 eV per atom. The energy above the most stable polymorph in this dataset is 246 meV/atom. The space-group type is P4/mmm.

```
TaRhSe2
1.0
-3.019 -1.051 -0.553
1.580 -3.916 -1.178
-0.285 -1.366 4.156
Rh Se Ta
1 2 1
direct
0.500 0.000 0.000
0.000 0.000 0.500
0.000 0.500 0.000
0.500 0.500 0.500
```



# 7
This record from Alexandria via LeMat-Bulk describes a geometry-optimized KSnB3 structure. The functional is GGA-PBEsol.

Properties
The value obtained for the formation energy is 1.9005 eV/atom. The space-group type is Pm-3m.

```
KSnB3
1.0
4.620 0.000 0.000
0.000 4.620 0.000
0.000 0.000 4.620
K B Sn
1 3 1
direct
0.500 0.500 0.500
0.000 0.500 0.000
0.000 0.000 0.500
0.500 0.000 0.000
0.000 0.000 0.000
```



# 8
This record from Alexandria via LeMat-Bulk describes a geometry-optimized BaCuSn2 structure. The functional is GGA-PBEsol.

Properties
The value obtained for the formation energy is -0.4169 eV/atom. The space-group type is Cmcm.

```
BaCuSn2
1.0
-0.704 4.107 -1.059
-1.369 -0.772 6.642
7.152 1.655 1.667
Ba Cu Sn
2 2 4
direct
0.055 0.110 0.250
0.945 0.890 0.750
0.782 0.564 0.250
0.218 0.436 0.750
0.337 0.673 0.052
0.663 0.327 0.948
0.663 0.327 0.552
0.337 0.673 0.448
```



no.,magnetic moment (μB per atom)
1,0.001
2,0.000
3,0.000
4,0.000
5,0.000
6,0.000
7,0.000
8,0.000